# 1
VASP calculation (GGA-PBEsol) on a relaxed structure of Li2BeF4.

The space group is R-3 (No. 148, hexagonal axes) and the conventional cell measures 13.3056, 13.3056 and 8.8804 Å, with angles of 90.00, 90.00 and 120.00 degrees. The distinct sites, in fractional coordinates, are Li at (0.0161, 0.2070, 0.0853), Li at (0.0207, 0.2145, 0.4186), Be at (0.0150, 0.2108, 0.7506), F at (0.0057, 0.3235, 0.7512), F at (0.0753, 0.2038, 0.8969), F at (0.0821, 0.2090, 0.6067) and F at (0.1049, 0.2161, 0.2521).

Its total magnetic moment is 0.01 μB/atom. The energy relative to the elements, uncorrected comes out at -301 kJ/mol of atoms.

---

# 2
VASP calculation (GGA-PBEsol) on a relaxed structure of LiBeNF2.

The space group is P4/mmm (No. 123) and the conventional cell measures 3.390, 3.390 and 3.961 Å, with angles of 90.00, 90.00 and 90.00 degrees. The distinct sites, in fractional coordinates, are Li at (0.000, 0.000, 0.000), Be at (0.500, 0.500, 0.500), N at (0.000, 0.000, 0.500) and F at (0.000, 0.500, 0.000).

Its total magnetic moment is 0.40 μB/atom. The energy relative to the elements, uncorrected comes out at -36 kJ/mol of atoms.

---

# 3
VASP calculation (GGA-PBEsol) on a relaxed structure of NaLiBeF4.

The space group is Pnma (No. 62) and the conventional cell measures 10.757, 6.163 and 4.599 Å, with angles of 90.00, 90.00 and 90.00 degrees. The distinct sites, in fractional coordinates, are Na at (0.226, 0.250, 0.033), Li at (0.000, 0.000, 0.500), Be at (0.077, 0.750, 0.100), F at (0.054, 0.250, 0.750), F at (0.075, 0.750, 0.766) and F at (0.144, 0.547, 0.232).

Its total magnetic moment is 0.00 μB/atom. The energy relative to the elements, uncorrected comes out at -296 kJ/mol of atoms.

---

# 4
VASP calculation (GGA-PBEsol) on a relaxed structure of LiBeOF2.

The space group is P4/mmm (No. 123) and the conventional cell measures 3.577, 3.577 and 3.312 Å, with angles of 90.00, 90.00 and 90.00 degrees. The distinct sites, in fractional coordinates, are Li at (0.000, 0.000, 0.000), Be at (0.500, 0.500, 0.500), O at (0.500, 0.500, 0.000) and F at (0.000, 0.500, 0.500).

Its total magnetic moment is 0.20 μB/atom. The energy relative to the elements, uncorrected comes out at -206 kJ/mol of atoms.

---

# 5
VASP calculation (GGA-PBEsol) on a relaxed structure of MgBeF3.

The space group is Pm-3m (No. 221) and the conventional cell measures 3.886, 3.886 and 3.886 Å, with angles of 90.00, 90.00 and 90.00 degrees. The distinct sites, in fractional coordinates, are Mg at (0.000, 0.000, 0.000), Be at (0.500, 0.500, 0.500) and F at (0.000, 0.000, 0.500).

Its total magnetic moment is 0.15 μB/atom. The energy relative to the elements, uncorrected comes out at -200 kJ/mol of atoms.

---

# 6
VASP calculation (GGA-PBEsol) on a relaxed structure of MgBe3F.

The space group is Pm-3m (No. 221) and the conventional cell measures 3.897, 3.897 and 3.897 Å, with angles of 90.00, 90.00 and 90.00 degrees. The distinct sites, in fractional coordinates, are Mg at (0.000, 0.000, 0.000), Be at (0.000, 0.500, 0.500) and F at (0.500, 0.500, 0.500).

Its total magnetic moment is 0.00 μB/atom. The energy relative to the elements, uncorrected comes out at 18 kJ/mol of atoms.

---

# 7
VASP calculation (GGA-PBEsol) on a relaxed structure of MgBe2NF.

The space group is P4/mmm (No. 123) and the conventional cell measures 3.233, 3.233 and 5.295 Å, with angles of 90.00, 90.00 and 90.00 degrees. The distinct sites, in fractional coordinates, are Mg at (0.000, 0.000, 0.000), Be at (0.000, 0.500, 0.500), N at (0.500, 0.500, 0.000) and F at (0.000, 0.000, 0.500).

Its total magnetic moment is 0.00 μB/atom. The energy relative to the elements, uncorrected comes out at 18 kJ/mol of atoms.

---

# 8
VASP calculation (GGA-PBEsol) on a relaxed structure of BeMoOF2.

The space group is P4/mmm (No. 123) and the conventional cell measures 4.155, 4.155 and 3.773 Å, with angles of 90.00, 90.00 and 90.00 degrees. The distinct sites, in fractional coordinates, are Be at (0.000, 0.000, 0.000), Mo at (0.500, 0.500, 0.500), O at (0.500, 0.500, 0.000) and F at (0.000, 0.500, 0.500).

Its total magnetic moment is 0.25 μB/atom. The energy relative to the elements, uncorrected comes out at -87 kJ/mol of atoms.

---

# 9
VASP calculation (GGA-PBEsol) on a relaxed structure of BeMoO2F.

The space group is P4/mmm (No. 123) and the conventional cell measures 3.712, 3.712 and 3.011 Å, with angles of 90.00, 90.00 and 90.00 degrees. The distinct sites, in fractional coordinates, are Be at (0.000, 0.000, 0.000), Mo at (0.500, 0.500, 0.500), O at (0.000, 0.500, 0.000) and F at (0.000, 0.000, 0.500).

Its total magnetic moment is 0.42 μB/atom. The energy relative to the elements, uncorrected comes out at -134 kJ/mol of atoms.

---

# 10
VASP calculation (GGA-PBEsol) on a relaxed structure of BeSnMoF2.

The space group is P4/mmm (No. 123) and the conventional cell measures 3.938, 3.938 and 5.640 Å, with angles of 90.00, 90.00 and 90.00 degrees. The distinct sites, in fractional coordinates, are Be at (0.000, 0.000, 0.000), Sn at (0.500, 0.500, 0.000), Mo at (0.500, 0.500, 0.500) and F at (0.000, 0.500, 0.500).

Its total magnetic moment is 0.32 μB/atom. The energy relative to the elements, uncorrected comes out at -48 kJ/mol of atoms.

---

# 11
VASP calculation (GGA-PBEsol) on a relaxed structure of BeNF2.

The space group is Fd-3m (No. 227, origin choice 2) and the conventional cell measures 7.223, 7.223 and 7.223 Å, with angles of 90.00, 90.00 and 90.00 degrees. The distinct sites, in fractional coordinates, are Be at (0.125, 0.125, 0.125), N at (0.125, 0.125, 0.625) and F at (0.000, 0.000, 0.000).

Its total magnetic moment is 0.75 μB/atom. The energy relative to the elements, uncorrected comes out at -104 kJ/mol of atoms.

---

# 12
VASP calculation (GGA-PBEsol) on a relaxed structure of Be2NF.

The space group is I-42d (No. 122) and the conventional cell measures 3.956, 3.956 and 8.101 Å, with angles of 90.00, 90.00 and 90.00 degrees. The distinct sites, in fractional coordinates, are Be at (0.191, 0.250, 0.125), N at (0.000, 0.000, 0.000) and F at (0.000, 0.000, 0.500).

Its total magnetic moment is 0.00 μB/atom. The energy relative to the elements, uncorrected comes out at -170 kJ/mol of atoms.

---

# 13
VASP calculation (GGA-PBEsol) on a relaxed structure of NaBeN2F.

The space group is P4/mmm (No. 123) and the conventional cell measures 3.226, 3.226 and 5.037 Å, with angles of 90.00, 90.00 and 90.00 degrees. The distinct sites, in fractional coordinates, are Na at (0.000, 0.000, 0.000), Be at (0.500, 0.500, 0.500), N at (0.000, 0.500, 0.500) and F at (0.500, 0.500, 0.000).

Its total magnetic moment is 0.06 μB/atom. The energy relative to the elements, uncorrected comes out at -10 kJ/mol of atoms.

---

# 14
VASP calculation (GGA-PBEsol) on a relaxed structure of NaBeNF2.

The space group is P4/mmm (No. 123) and the conventional cell measures 3.757, 3.757 and 3.452 Å, with angles of 90.00, 90.00 and 90.00 degrees. The distinct sites, in fractional coordinates, are Na at (0.000, 0.000, 0.000), Be at (0.500, 0.500, 0.500), N at (0.500, 0.500, 0.000) and F at (0.000, 0.500, 0.500).

Its total magnetic moment is 0.40 μB/atom. The energy relative to the elements, uncorrected comes out at -133 kJ/mol of atoms.

---

# 15
VASP calculation (GGA-PBEsol) on a relaxed structure of BeN2OF.

The space group is P4/mmm (No. 123) and the conventional cell measures 3.297, 3.297 and 4.653 Å, with angles of 90.00, 90.00 and 90.00 degrees. The distinct sites, in fractional coordinates, are Be at (0.000, 0.000, 0.000), N at (0.000, 0.500, 0.500), O at (0.500, 0.500, 0.000) and F at (0.500, 0.500, 0.500).

Its total magnetic moment is 0.42 μB/atom. The energy relative to the elements, uncorrected comes out at 215 kJ/mol of atoms.

---

# 16
VASP calculation (GGA-PBEsol) on a relaxed structure of BePtN2F.

The space group is P4/mmm (No. 123) and the conventional cell measures 3.657, 3.657 and 5.627 Å, with angles of 90.00, 90.00 and 90.00 degrees. The distinct sites, in fractional coordinates, are Be at (0.000, 0.000, 0.000), Pt at (0.500, 0.500, 0.500), N at (0.000, 0.500, 0.500) and F at (0.500, 0.500, 0.000).

Its total magnetic moment is 0.05 μB/atom. The energy relative to the elements, uncorrected comes out at 99 kJ/mol of atoms.

---

# 17
VASP calculation (GGA-PBEsol) on a relaxed structure of BeSNF2.

The space group is P4/mmm (No. 123) and the conventional cell measures 4.393, 4.393 and 3.251 Å, with angles of 90.00, 90.00 and 90.00 degrees. The distinct sites, in fractional coordinates, are Be at (0.000, 0.000, 0.000), S at (0.500, 0.500, 0.500), N at (0.500, 0.500, 0.000) and F at (0.000, 0.500, 0.500).

Its total magnetic moment is 0.00 μB/atom. The energy relative to the elements, uncorrected comes out at 30 kJ/mol of atoms.

---

# 18
VASP calculation (GGA-PBEsol) on a relaxed structure of BeSiN2F.

The space group is P4/mmm (No. 123) and the conventional cell measures 3.604, 3.604 and 3.155 Å, with angles of 90.00, 90.00 and 90.00 degrees. The distinct sites, in fractional coordinates, are Be at (0.000, 0.000, 0.000), Si at (0.500, 0.500, 0.500), N at (0.000, 0.500, 0.000) and F at (0.000, 0.000, 0.500).

Its total magnetic moment is 0.00 μB/atom. The energy relative to the elements, uncorrected comes out at 15 kJ/mol of atoms.

---

# 19
VASP calculation (GGA-PBEsol) on a relaxed structure of YBeN2F.

The space group is P4/mmm (No. 123) and the conventional cell measures 4.342, 4.342 and 4.141 Å, with angles of 90.00, 90.00 and 90.00 degrees. The distinct sites, in fractional coordinates, are Y at (0.000, 0.000, 0.000), Be at (0.500, 0.500, 0.500), N at (0.000, 0.500, 0.000) and F at (0.000, 0.000, 0.500).

Its total magnetic moment is 0.00 μB/atom. The energy relative to the elements, uncorrected comes out at 23 kJ/mol of atoms.

---

# 20
VASP calculation (GGA-PBEsol) on a relaxed structure of Na2BeF.

The space group is Fm-3m (No. 225) and the conventional cell measures 6.674, 6.674 and 6.674 Å, with angles of 90.00, 90.00 and 90.00 degrees. The distinct sites, in fractional coordinates, are Na at (0.250, 0.250, 0.250), Be at (0.000, 0.000, 0.000) and F at (0.000, 0.000, 0.500).

Its total magnetic moment is 0.00 μB/atom. The energy relative to the elements, uncorrected comes out at -24 kJ/mol of atoms.